[1]
Below is a relaxed structure of PrNdPtPb, with properties calculated at the PBE-GGA level.

Unit cell a=5.3734 b=5.3734 c=5.3734 alpha=60.00 beta=60.00 gamma=60.00
With the nearest neighbours (Å) after each atom.
Fractional coordinates of all 4 atoms:
Pt (0.7500, 0.7500, 0.7500)  4 Pr 3.29, 4 Nd 3.29
Nd (0.0000, 0.0000, 0.0000)  4 Pb 3.29, 4 Pt 3.29
Pb (0.2500, 0.2500, 0.2500)  4 Pr 3.29, 4 Nd 3.29
Pr (0.5000, 0.5000, 0.5000)  4 Pt 3.29, 4 Pb 3.29

- Density of states at the Fermi level: 1.38 states/eV/cell
- Total DFT energy (no corrections): -5.49 eV/atom
- Calculated formation energy: -0.67 eV/atom
- Size of the total moment: 0.0 μB/cell
- Symmetry: F-43m
- Calculated volume: 110 Å³/cell

[2]
Below is a relaxed structure of LaCrHS2, with properties calculated at the PBE-GGA level.

Unit cell a=4.7820 b=4.7820 c=3.7226 alpha=90.00 beta=90.00 gamma=90.00
With the nearest neighbours (Å) after each atom.
Fractional coordinates of all 5 atoms:
La (0.5000, 0.5000, 0.5000)  8 S 3.03, 4 H 3.38
H (0.0000, 0.0000, 0.5000)  2 Cr 1.86
S (0.0000, 0.5000, 0.0000)  2 Cr 2.39
S (0.5000, 0.0000, 0.0000)  2 Cr 2.39
Cr (0.0000, 0.0000, 0.0000)  2 H 1.86

- Density of states at the Fermi level: 1.11 states/eV/cell
- Total DFT energy (no corrections): -6.34 eV/atom
- Size of the total moment: 3.6 μB/cell
- Symmetry: P4/mmm
- Calculated volume: 85 Å³/cell

[3]
Below is a relaxed structure of SmErMgOs, with properties calculated at the PBE-GGA level.

Unit cell a=5.0241 b=5.0241 c=5.0241 alpha=60.00 beta=60.00 gamma=60.00
With the nearest neighbours (Å) after each atom.
Fractional coordinates of all 4 atoms:
Sm (0.7500, 0.7500, 0.7500)  4 Mg 3.08, 4 Os 3.08
Mg (0.0000, 0.0000, 0.0000)  4 Er 3.08, 4 Sm 3.08
Er (0.2500, 0.2500, 0.2500)  4 Os 3.08, 4 Mg 3.08
Os (0.5000, 0.5000, 0.5000)  4 Er 3.08, 4 Sm 3.08

- Density of states at the Fermi level: 2.94 states/eV/cell
- Total DFT energy (no corrections): -5.63 eV/atom
- Calculated formation energy: -0.11 eV/atom
- Size of the total moment: 0.0 μB/cell
- Symmetry: F-43m
- Calculated volume: 90 Å³/cell

Q: Which formula does entry 1 have?
A: PrNdPtPb

Q: Number 1 is which compound?
A: PrNdPtPb